Record 1
Below is an optimized crystal structure of BeFeTc2, with properties calculated at the PBE-GGA level.

Symmetry = P4/mmm (123)
N(E_F) = 2.6 states/eV/cell

a = 2.717 Å, b = 2.717 Å, c = 6.492 Å
α = 90.00°, β = 90.00°, γ = 90.00°
Site moments in Bohr magnetons follow the coordinates.
Fractional coordinates of all 4 atoms:
Be1 0.500 0.500 0.250  0.00
Fe1 0.500 0.500 0.750  1.54
Tc1 0.000 0.000 0.485  -0.15
Tc2 0.000 0.000 0.015  -0.15

Record 2
Below is an optimized crystal structure of Tl2FeAg, with properties calculated at the PBE-GGA level.

Symmetry = C2/m (12)
N(E_F) = 2.4 states/eV/cell

a = 7.299 Å, b = 5.179 Å, c = 3.174 Å
α = 90.28°, β = 63.78°, γ = 124.70°
Site moments in Bohr magnetons follow the coordinates.
Fractional coordinates of all 4 atoms:
Tl1 0.500 0.000 0.500  -0.01
Fe1 0.500 0.500 0.000  2.92
Tl2 0.000 0.000 0.000  -0.01
Ag1 0.000 0.500 0.500  0.01

| no. | E_form (eV/atom) |
| --- | --- |
| 1 | -0.01 |
| 2 | 0.48 |